[1]
Rb2WBr2Cl4 | PBE-GGA | relaxed

Calculated values
For the total energy, the calculation gives -4.12 eV per atom. As for the crystal system: monoclinic. As for the density of states at the Fermi level: 7.54 states/eV/f.u. The space-group type is No. 12.

The structure in POSCAR format:
```
Rb2WBr2Cl4
1.0
7.2344 1.0611 0.7219
2.6800 6.9131 0.2538
2.6800 2.7744 6.3371
Cl Rb Br W
4 2 2 1
Direct
0.2711 0.2286 0.7690
0.2711 0.7690 0.2286
0.7289 0.7714 0.2310
0.7289 0.2310 0.7714
0.7478 0.2509 0.2509
0.2522 0.7491 0.7491
0.7447 0.7573 0.7573
0.2553 0.2427 0.2427
0.5000 0.0000 0.0000
```



[2]
Lu2NiBi | PBE-GGA | relaxed

Calculated values
For the total energy, the calculation gives -4.87 eV per atom. As for the formation enthalpy at 0 K: -0.191 eV per atom. As for the crystal system: trigonal. As for the density of states at the Fermi level: 3.11 states/eV/f.u. The space-group type is No. 166.

The structure in POSCAR format:
```
Lu2NiBi
1.0
3.7686 0.0000 0.0000
1.8843 3.2637 0.0000
1.8843 1.0879 9.2415
Lu Ni Bi
2 1 1
Direct
0.1140 0.1140 0.6581
0.8860 0.8860 0.3419
0.5000 0.5000 0.5000
0.0000 0.0000 0.0000
```



[3]
CePmPr6Ho2 | PBE-GGA | relaxed

Calculated values
For the total energy, the calculation gives -4.62 eV per atom. As for the formation enthalpy at 0 K: 0.231 eV per atom. As for the crystal system: monoclinic. As for the density of states at the Fermi level: 22.76 states/eV/f.u. The space-group type is No. 12.

The structure in POSCAR format:
```
CePmPr6Ho2
1.0
-6.6468 -5.1450 -3.1183
3.8556 -5.7995 1.3503
-3.2134 3.3244 4.8194
Pr Pm Ho Ce
6 1 2 1
Direct
0.7981 0.4032 0.3371
0.2019 0.5968 0.6629
0.7981 0.9338 0.3371
0.2019 0.0662 0.6629
0.5811 0.3694 0.7387
0.4189 0.6306 0.2613
0.5000 0.0000 0.0000
0.1566 0.0938 0.1876
0.8434 0.9062 0.8124
0.0000 0.5000 0.0000
```



[4]
Th2Al7Au12 | PBE-GGA | relaxed

Calculated values
For the total energy, the calculation gives -4.32 eV per atom. As for the formation enthalpy at 0 K: -0.495 eV per atom. As for the crystal system: hexagonal. As for the density of states at the Fermi level: 8.26 states/eV/f.u. The space-group type is No. 174.

The structure in POSCAR format:
```
Th2Al7Au12
1.0
-2.2211 2.0721 -3.0861
5.5717 -4.7813 -7.2202
-8.7290 -4.2555 3.4250
Au Al Th
12 7 2
Direct
0.0000 0.2584 0.0775
0.5000 0.4158 0.3101
0.0000 0.8191 0.7416
0.5000 0.5436 0.7744
0.5000 0.2308 0.4564
0.0000 0.0429 0.5073
0.0000 0.4644 0.9571
0.0000 0.9225 0.1809
0.5000 0.2256 0.7692
0.5000 0.8943 0.5842
0.0000 0.4927 0.5356
0.5000 0.6899 0.1057
0.0000 0.0870 0.7863
0.0000 0.6993 0.9130
0.0000 0.3333 0.6667
0.0000 0.2137 0.3007
0.5000 0.6513 0.5883
0.5000 0.9370 0.3487
0.5000 0.4117 0.0630
0.5000 0.0000 0.0000
0.0000 0.6667 0.3333
```



[5]
Pu2TiPt | PBE-GGA | relaxed

Calculated values
For the total energy, the calculation gives -10.88 eV per atom. As for the formation enthalpy at 0 K: -0.232 eV per atom. As for the crystal system: tetragonal. As for the density of states at the Fermi level: 9.68 states/eV/f.u. The space-group type is No. 123.

The structure in POSCAR format:
```
Pu2TiPt
1.0
-4.2223 2.4447 0.0350
-1.8308 -3.1860 1.6773
0.8632 1.4383 3.6744
Pu Ti Pt
2 1 1
Direct
0.0000 0.5000 0.0000
0.0000 0.0000 0.5000
0.5000 0.0000 0.0000
0.5000 0.5000 0.5000
```



[6]
Li2CaZr | PBE-GGA | relaxed

Calculated values
For the total energy, the calculation gives -3.34 eV per atom. As for the formation enthalpy at 0 K: 0.259 eV per atom. As for the crystal system: orthorhombic. As for the density of states at the Fermi level: 3.32 states/eV/f.u. The space-group type is No. 35.

The structure in POSCAR format:
```
Li2CaZr
1.0
3.1581 0.1137 0.0000
-0.8368 3.0473 0.0000
0.0000 0.0000 10.1324
Li Zr Ca
2 1 1
Direct
0.5000 0.5000 0.2424
0.0000 0.0000 0.0282
0.0000 0.0000 0.4781
0.5000 0.5000 0.7513
```



[7]
MoP2WCl | PBE-GGA | relaxed

Calculated values
For the total energy, the calculation gives -6.32 eV per atom. As for the crystal system: tetragonal. As for the density of states at the Fermi level: 2.66 states/eV/f.u. The space-group type is No. 123.

The structure in POSCAR format:
```
MoP2WCl
1.0
4.7366 0.0000 0.0000
0.0000 4.7366 0.0000
0.0000 0.0000 4.7461
P Mo W Cl
2 1 1 1
Direct
0.5000 0.0000 0.0000
0.0000 0.5000 0.0000
0.5000 0.5000 0.5000
0.0000 0.0000 0.0000
0.0000 0.0000 0.5000
```



[8]
BeAg2Ru | PBE-GGA | relaxed

Calculated values
For the total energy, the calculation gives -4.17 eV per atom. As for the formation enthalpy at 0 K: 0.504 eV per atom. As for the crystal system: orthorhombic. As for the density of states at the Fermi level: 3.69 states/eV/f.u. The space-group type is No. 47.

The structure in POSCAR format:
```
BeAg2Ru
1.0
-0.1153 -1.7621 -2.0549
3.7743 0.9988 -1.0683
1.9426 -3.8896 3.2264
Be Ag Ru
1 2 1
Direct
0.5000 0.5000 0.2500
0.0000 0.0000 0.4926
0.0000 0.0000 0.0074
0.5000 0.5000 0.7500
```